1.
{"formula": "K2ZrIr", "functional": "GGA-PBE", "state": "relaxed", "sg": "No. 225", "magnetic_moment_mub_per_cell": 0.00, "dos_at_fermi_per_ev_cell": 4.29, "de_polymorph_ev_per_atom": 1.4660, "e_tot_ev_per_atom": -3.332, "lattice": [[0.000, 3.733, 3.733], [3.733, 0.000, 3.733], [3.733, 3.733, 0.000]], "species": ["Zr", "K", "Ir", "K"], "frac_coords": [[0.000, 0.000, 0.000], [0.250, 0.250, 0.250], [0.500, 0.500, 0.500], [0.750, 0.750, 0.750]]}



2.
{"formula": "GaSiH2", "functional": "GGA-PBE", "state": "relaxed", "sg": "No. 47", "magnetic_moment_mub_per_cell": 0.00, "dos_at_fermi_per_ev_cell": 0.66, "de_polymorph_ev_per_atom": 0.1793, "e_tot_ev_per_atom": -3.470, "lattice": [[-0.696, -2.032, -1.655], [6.324, -1.471, -0.852], [-0.100, -1.578, 1.980]], "species": ["Si", "Ga", "H", "H"], "frac_coords": [[0.000, 0.000, 0.500], [0.500, 0.500, 0.500], [0.000, 0.744, 0.500], [0.000, 0.256, 0.500]]}



3.
{"formula": "Ac5Tb2Nd4", "functional": "GGA-PBE", "state": "relaxed", "sg": "No. 10", "magnetic_moment_mub_per_cell": 0.00, "dos_at_fermi_per_ev_cell": 20.12, "e_tot_ev_per_atom": -4.287, "lattice": [[3.703, 0.000, 0.000], [0.000, 10.622, -6.733], [0.000, -5.900, 14.851]], "species": ["Ac", "Ac", "Tb", "Ac", "Nd", "Ac", "Nd", "Nd", "Tb", "Ac", "Nd"], "frac_coords": [[0.000, 0.500, 0.000], [0.000, 0.604, 0.285], [0.000, 0.032, 0.653], [0.000, 0.776, 0.802], [0.500, 0.844, 0.077], [0.000, 0.396, 0.715], [0.500, 0.684, 0.539], [0.500, 0.316, 0.461], [0.000, 0.968, 0.347], [0.000, 0.224, 0.198], [0.500, 0.156, 0.923]]}



4.
{"formula": "HoZn2Sn2", "functional": "GGA-PBE", "state": "relaxed", "sg": "No. 63", "magnetic_moment_mub_per_cell": 0.00, "dos_at_fermi_per_ev_cell": 3.69, "e_tot_ev_per_atom": -3.368, "lattice": [[4.362, 0.000, 0.000], [0.000, 4.372, 0.000], [-2.181, 0.000, 11.254]], "species": ["Sn", "Ho", "Sn", "Zn", "Sn", "Zn", "Ho", "Sn", "Zn", "Zn"], "frac_coords": [[0.119, 0.250, 0.239], [0.360, 0.250, 0.720], [0.881, 0.750, 0.761], [0.532, 0.250, 0.065], [0.249, 0.750, 0.499], [0.468, 0.750, 0.935], [0.640, 0.750, 0.280], [0.751, 0.250, 0.501], [0.037, 0.750, 0.075], [0.963, 0.250, 0.925]]}



5.
{"formula": "Tl2CdRe", "functional": "GGA-PBE", "state": "relaxed", "sg": "No. 25", "magnetic_moment_mub_per_cell": 0.00, "dos_at_fermi_per_ev_cell": 2.89, "de_polymorph_ev_per_atom": 0.1960, "e_tot_ev_per_atom": -3.677, "lattice": [[3.004, 0.000, 0.000], [0.000, 4.811, 0.000], [0.000, 0.000, 5.966]], "species": ["Tl", "Re", "Cd", "Tl"], "frac_coords": [[0.000, 0.000, 0.986], [0.500, 0.500, 0.741], [0.000, 0.000, 0.517], [0.500, 0.500, 0.255]]}



6.
{"formula": "Ba2YW", "functional": "GGA-PBE", "state": "relaxed", "sg": "No. 119", "magnetic_moment_mub_per_cell": 1.64, "dos_at_fermi_per_ev_cell": 6.29, "de_polymorph_ev_per_atom": 0.3515, "e_tot_ev_per_atom": -4.718, "lattice": [[-5.376, -2.093, -0.943], [-1.637, -0.507, 5.589], [2.124, 4.887, -2.403]], "species": ["Ba", "Y", "W", "Ba"], "frac_coords": [[0.000, 0.000, 0.000], [0.750, 0.250, 0.500], [0.500, 0.500, 0.000], [0.250, 0.750, 0.500]]}